1.
Here is a geometry-optimized BeAlAg structure from Alexandria. Energies are from PBE-GGA.

extended XYZ file:
```
3
Lattice="-0.8595 1.7308 2.0787 -1.7876 -1.9253 -1.0738 1.9085 -4.1299 4.2278" Properties=species:S:1:pos:R:3 pbc="T T T"
Al -0.4925 -0.9516 2.5262
Ag 1.8698 -4.0461 4.1420
Be -0.2074 -3.4567 2.7923
```

DFT formation energy ... 0.17 eV/atom
DOS at the Fermi energy ... 0.28 states/eV/atom
Energy relative to the lowest polymorph listed for this composition ... 22 meV/atom
E ... -3.27 eV/atom
SG ... P3m1 (156)



2.
Here is a geometry-optimized Tb2DyY4 structure from Alexandria. Energies are from PBE-GGA.

extended XYZ file:
```
7
Lattice="-3.1468 -0.6338 1.5257 -0.8217 1.7902 -9.2272 1.0452 -7.9641 2.9864" Properties=species:S:1:pos:R:3 pbc="T T T"
Y -1.6700 -3.1001 -0.5880
Tb -1.5821 -6.2363 -1.7133
Y -1.9192 -5.9292 1.8630
Y -1.2533 -3.7076 -4.1271
Tb -1.3412 -0.5714 -3.0018
Dy 0.0000 0.0000 0.0000
Y -1.0041 -0.8785 -6.5781
```

DFT formation energy ... 0.03 eV/atom
DOS at the Fermi energy ... 1.70 states/eV/atom
Energy relative to the lowest polymorph listed for this composition ... 0 meV/atom
E ... -5.64 eV/atom
SG ... C2/m (12)



3.
Here is a geometry-optimized La6C2Br3Cl structure from Alexandria. Energies are from PBE-GGA.

extended XYZ file:
```
12
Lattice="-4.6940 4.2357 -2.8097 -1.8611 -4.3905 5.0129 3.8060 5.2783 4.4422" Properties=species:S:1:pos:R:3 pbc="T T T"
Br -2.3291 5.4685 0.6867
La -2.3910 5.7023 3.8605
La -3.9004 0.8911 2.3951
C -2.8054 -1.5148 2.4051
C -3.7496 1.3601 -0.2020
La -1.3747 2.6077 6.6668
La -0.3580 -0.5788 2.7848
Cl 0.0000 0.0000 0.0000
La -1.3743 2.5158 -0.0215
Br -1.3745 2.5618 3.3227
Br -0.4199 -0.3450 5.9586
La 1.1514 4.2324 4.2502
```

DOS at the Fermi energy ... 0.43 states/eV/atom
E ... -5.68 eV/atom
Formation energy without anion corrections ... -13.24 eV/f.u.
SG ... C2/m (12)



4.
Here is a geometry-optimized Pr3Sm3Y5 structure from Alexandria. Energies are from PBE-GGA.

extended XYZ file:
```
11
Lattice="-1.1074 4.3811 -3.1802 8.0008 -1.8269 -5.3033 -8.5523 -3.9949 -2.5247" Properties=species:S:1:pos:R:3 pbc="T T T"
Y -3.5883 -1.0817 -5.0410
Y -0.9034 -1.5004 -6.5529
Pr -6.0772 2.0596 -4.6473
Y 1.9294 -0.3591 -5.9672
Sm -6.8114 -0.7325 -3.4374
Pr 4.6493 -1.0616 -3.0818
Y -3.6840 0.7282 -2.5141
Sm 5.3004 0.8537 -5.4705
Y 2.3747 1.5219 -3.5313
Sm -0.7017 0.6285 -3.6904
Pr -0.2310 -2.4387 -3.2791
```

DFT formation energy ... 0.74 eV/atom
DOS at the Fermi energy ... 1.81 states/eV/atom
Energy relative to the lowest polymorph listed for this composition ... 0 meV/atom
E ... -4.79 eV/atom
SG ... P-62m (189)